(1)
First-principles (PBE) data for a relaxed CaAc4Ru2 crystal, as listed in Alexandria via LeMat-Bulk.

a b c (Å): 7.2681 9.2672 11.0146
angles (deg): 131.90 109.45 82.70
Element x y z (fractional)
Ac 0.5395 0.6257 0.3041
Ac 0.3493 0.6228 0.9021
Ac 0.3495 0.1335 0.4082
Ac 0.7490 0.6092 0.6916
Ac 0.9417 0.1269 0.6041
Ac 0.5452 0.1273 0.8088
Ac 0.9304 0.6236 0.1070
Ac 0.7428 0.1412 0.2194
Ru 0.6563 0.3583 0.7721
Ru 0.0662 0.3827 0.5722
Ru 0.6285 0.8502 0.2458
Ru 0.4504 0.3929 0.3463
Ca 0.1529 0.6125 0.5016
Ca 0.1483 0.1433 0.0166

Computed properties:
The value obtained for the formation energy is -0.13 eV/atom. For the density of states at the Fermi level, the calculation gives 0.54 states/eV per atom. Its total energy is -75.8 eV for the cell shown.

=====

(2)
First-principles (PBE) data for a relaxed CaAc4Ru crystal, as listed in Alexandria via LeMat-Bulk.

a b c (Å): 7.9947 6.7921 10.2948
angles (deg): 107.08 67.15 90.00
Element x y z (fractional)
Ca 0.8055 0.1799 0.3891
Ca 0.1945 0.8201 0.6109
Ru 0.5370 0.6565 0.9259
Ru 0.4630 0.3435 0.0741
Ac 0.3152 0.2080 0.3696
Ac 0.7445 0.0000 0.0000
Ac 0.6848 0.7920 0.6304
Ac 0.1379 0.6156 0.2218
Ac 0.8621 0.3844 0.7782
Ac 0.6402 0.6156 0.2218
Ac 0.3598 0.3844 0.7782
Ac 0.2555 0.0000 0.0000

Computed properties:
The value obtained for the formation energy is -0.06 eV/atom. For the density of states at the Fermi level, the calculation gives 1.14 states/eV per atom. Its total energy is -56.1 eV for the cell shown.